Entry 1:
A plane-wave DFT calculation with PBE-GGA was carried out for a relaxed CoTeBr crystal.

Results
Crystal system: cubic
Calculated density: 6.4 g/cm³
ΔE_f (raw): 112 kJ/mol of formula units
Size of the total moment: 2.01 μB/cell
D(E_F): 2.30 states/eV per cell

Lattice parameters (Å, degrees): 4.619 4.619 4.619 60.00 60.00 60.00
Sites, in units of the cell vectors:
Br 0.500 0.500 0.500
Co 0.750 0.750 0.750
Te 0.000 0.000 0.000

Entry 2:
A plane-wave DFT calculation with PBE-GGA was carried out for a relaxed SmDySc2 crystal.

Results
Crystal system: tetragonal
Calculated density: 5.9 g/cm³
Size of the total moment: 0.00 μB/cell
Relative energy among the computed polymorphs: 4 meV per atom
Calculated formation energy: 0.21 eV/f.u.
D(E_F): 6.37 states/eV per cell

Lattice parameters (Å, degrees): 3.502 3.502 9.236 90.00 90.00 90.00
Sites, in units of the cell vectors:
Sc 0.000 0.000 0.753
Sc 0.000 0.000 0.247
Sm 0.500 0.500 0.500
Dy 0.500 0.500 0.000

Entry 3:
A plane-wave DFT calculation with PBE-GGA was carried out for a relaxed Mn4PPb crystal.

Results
Crystal system: cubic
Calculated density: 8.5 g/cm³
Size of the total moment: 9.40 μB/cell
Calculated formation energy: 3.18 eV/f.u.
D(E_F): 9.06 states/eV per cell

Lattice parameters (Å, degrees): 5.012 5.012 5.012 60.00 60.00 60.00
Sites, in units of the cell vectors:
Mn 0.624 0.624 0.127
Mn 0.624 0.127 0.624
Mn 0.624 0.624 0.624
Mn 0.127 0.624 0.624
P 0.250 0.250 0.250
Pb 0.000 0.000 0.000

Entry 4:
A plane-wave DFT calculation with PBE-GGA was carried out for a relaxed SrLi2Bi2Pb crystal.

Results
Crystal system: trigonal
Calculated density: 7.1 g/cm³
Size of the total moment: 0.00 μB/cell
Calculated formation energy: -3.29 eV/f.u.
D(E_F): 0.35 states/eV per cell

Lattice parameters (Å, degrees): 4.998 4.998 7.901 90.00 90.00 120.00
Sites, in units of the cell vectors:
Sr 0.000 0.000 0.000
Li 0.333 0.667 0.652
Li 0.667 0.333 0.348
Bi 0.333 0.667 0.250
Bi 0.667 0.333 0.750
Pb 0.000 0.000 0.500

Entry 5:
A plane-wave DFT calculation with PBE-GGA was carried out for a relaxed HAu crystal.

Results
Crystal system: cubic
Calculated density: 12.5 g/cm³
Size of the total moment: 0.00 μB/cell
D(E_F): 1.55 states/eV per cell
Total DFT energy (no corrections): -47.277 eV/cell

Lattice parameters (Å, degrees): 5.947 5.947 5.947 90.00 90.00 90.00
Sites, in units of the cell vectors:
H 0.135 0.135 0.135
H 0.135 0.865 0.865
H 0.865 0.135 0.865
H 0.865 0.865 0.135
H 0.635 0.635 0.635
H 0.635 0.365 0.365
H 0.365 0.635 0.365
H 0.365 0.365 0.635
Au 0.302 0.302 0.302
Au 0.302 0.698 0.698
Au 0.698 0.302 0.698
Au 0.698 0.698 0.302
Au 0.802 0.802 0.802
Au 0.802 0.198 0.198
Au 0.198 0.802 0.198
Au 0.198 0.198 0.802

Entry 6:
A plane-wave DFT calculation with PBE-GGA was carried out for a relaxed Ag2TePdS crystal.

Results
Crystal system: tetragonal
Calculated density: 6.4 g/cm³
ΔE_f (raw): 217 kJ/mol of formula units
Size of the total moment: 0.00 μB/cell
D(E_F): 2.06 states/eV per cell

Lattice parameters (Å, degrees): 4.572 5.967 4.572 90.00 90.00 90.00
Sites, in units of the cell vectors:
S 0.000 0.000 0.000
Te 0.000 0.500 0.000
Pd 0.500 0.500 0.500
Ag 0.000 0.000 0.500
Ag 0.500 0.000 0.000